1.
NaTmFeS3 (GGA-PBE, relaxed); energy = -5.696 eV/atom
1.0
7.896 0.000 0.000
0.000 3.824 0.000
-2.209 0.000 8.852
Na Tm Fe S
2 2 2 6
direct
0.208 0.250 0.237
0.792 0.750 0.763
0.329 0.750 0.852
0.671 0.250 0.148
0.075 0.250 0.590
0.925 0.750 0.410
0.085 0.250 0.843
0.222 0.750 0.536
0.435 0.750 0.154
0.565 0.250 0.846
0.778 0.250 0.464
0.915 0.750 0.157


2.
NaZnFeS3 (GGA-PBE, relaxed); energy = -4.467 eV/atom
1.0
7.605 0.000 0.000
0.000 3.558 0.000
-1.655 0.000 9.085
Na Zn Fe S
2 2 2 6
direct
0.185 0.250 0.215
0.815 0.750 0.785
0.369 0.750 0.894
0.631 0.250 0.106
0.072 0.250 0.591
0.928 0.750 0.409
0.124 0.250 0.825
0.196 0.750 0.525
0.436 0.750 0.157
0.564 0.250 0.843
0.804 0.250 0.475
0.876 0.750 0.175


3.
NaFeSnSb (GGA-PBE, relaxed); energy = -4.196 eV/atom
1.0
6.964 0.000 0.000
0.000 6.964 0.000
0.000 0.000 6.964
Na Fe Sn Sb
4 4 4 4
direct
0.000 0.000 0.000
0.000 0.500 0.500
0.500 0.000 0.500
0.500 0.500 0.000
0.000 0.000 0.500
0.000 0.500 0.000
0.500 0.000 0.000
0.500 0.500 0.500
0.250 0.250 0.250
0.250 0.750 0.750
0.750 0.250 0.750
0.750 0.750 0.250
0.250 0.250 0.750
0.250 0.750 0.250
0.750 0.250 0.250
0.750 0.750 0.750


4.
NaFeSnSb (GGA-PBE, relaxed); energy = -3.992 eV/atom
1.0
7.190 0.000 0.000
0.000 7.190 0.000
0.000 0.000 7.190
Na Fe Sn Sb
4 4 4 4
direct
0.000 0.000 0.000
0.000 0.500 0.500
0.500 0.000 0.500
0.500 0.500 0.000
0.250 0.250 0.250
0.250 0.750 0.750
0.750 0.250 0.750
0.750 0.750 0.250
0.000 0.000 0.500
0.000 0.500 0.000
0.500 0.000 0.000
0.500 0.500 0.500
0.250 0.250 0.750
0.250 0.750 0.250
0.750 0.250 0.250
0.750 0.750 0.750


5.
NaFeSnSb (GGA-PBE, relaxed); energy = -3.988 eV/atom
1.0
7.144 0.000 0.000
0.000 7.144 0.000
0.000 0.000 7.144
Na Fe Sn Sb
4 4 4 4
direct
0.000 0.000 0.000
0.000 0.500 0.500
0.500 0.000 0.500
0.500 0.500 0.000
0.250 0.250 0.750
0.250 0.750 0.250
0.750 0.250 0.250
0.750 0.750 0.750
0.250 0.250 0.250
0.250 0.750 0.750
0.750 0.250 0.750
0.750 0.750 0.250
0.000 0.000 0.500
0.000 0.500 0.000
0.500 0.000 0.000
0.500 0.500 0.500


6.
NaZrFeSb (GGA-PBE, relaxed); energy = -5.556 eV/atom
1.0
6.498 0.000 0.000
0.000 6.498 0.000
0.000 0.000 6.498
Na Zr Fe Sb
4 4 4 4
direct
0.000 0.000 0.000
0.000 0.500 0.500
0.500 0.000 0.500
0.500 0.500 0.000
0.250 0.250 0.750
0.250 0.750 0.250
0.750 0.250 0.250
0.750 0.750 0.750
0.000 0.000 0.500
0.000 0.500 0.000
0.500 0.000 0.000
0.500 0.500 0.500
0.250 0.250 0.250
0.250 0.750 0.750
0.750 0.250 0.750
0.750 0.750 0.250


7.
NaZrFeSb (GGA-PBE, relaxed); energy = -5.452 eV/atom
1.0
6.850 0.000 0.000
0.000 6.850 0.000
0.000 0.000 6.850
Na Zr Fe Sb
4 4 4 4
direct
0.000 0.000 0.000
0.000 0.500 0.500
0.500 0.000 0.500
0.500 0.500 0.000
0.000 0.000 0.500
0.000 0.500 0.000
0.500 0.000 0.000
0.500 0.500 0.500
0.250 0.250 0.750
0.250 0.750 0.250
0.750 0.250 0.250
0.750 0.750 0.750
0.250 0.250 0.250
0.250 0.750 0.750
0.750 0.250 0.750
0.750 0.750 0.250


8.
NaScFe (GGA-PBE, relaxed); energy = -4.171 eV/atom
1.0
6.504 0.000 0.000
0.000 6.504 0.000
0.000 0.000 6.504
Na Sc Fe
4 4 4
direct
0.000 0.000 0.000
0.000 0.500 0.500
0.500 0.000 0.500
0.500 0.500 0.000
0.250 0.250 0.750
0.250 0.750 0.250
0.750 0.250 0.250
0.750 0.750 0.750
0.000 0.000 0.500
0.000 0.500 0.000
0.500 0.000 0.000
0.500 0.500 0.500